1.
A plane-wave DFT calculation with PBE was carried out for an optimized crystal structure of Na3SnPd3O8.

Computed properties:
Mass density ... 5.3 g/cm³
Symmetry ... C2/m

abc: 6.193 6.541 6.409
angles: 115.65 90.00 118.26
Atoms (fractional coordinates):
Na 0.000 0.000 0.000
Na 0.000 0.500 0.000
Na 0.500 0.500 0.000
Sn 0.000 0.000 0.500
Pd 0.500 0.000 0.500
Pd 0.500 0.500 0.500
Pd 0.000 0.500 0.500
O 0.223 0.446 0.270
O 0.777 0.554 0.730
O 0.787 0.574 0.300
O 0.213 0.426 0.700
O 0.778 0.072 0.322
O 0.222 0.928 0.678
O 0.294 0.072 0.322
O 0.706 0.928 0.678

2.
A plane-wave DFT calculation with PBE was carried out for an optimized crystal structure of PmEuGdRu.

Computed properties:
Mass density ... 9.1 g/cm³
Symmetry ... F-43m
Energy of formation ... 0.1314 eV/atom

abc: 5.228 5.228 5.228
angles: 60.00 60.00 60.00
Site moments in Bohr magnetons follow the coordinates.
Atoms (fractional coordinates):
Eu 0.750 0.750 0.750  -6.85
Ru 0.250 0.250 0.250  0.00
Gd 0.500 0.500 0.500  6.98
Pm 0.000 0.000 0.000  -0.07

3.
A plane-wave DFT calculation with PBE was carried out for an optimized crystal structure of Ta5InRu6.

Computed properties:
Mass density ... 14.0 g/cm³
Symmetry ... P2/m
Energy of formation ... -0.3196 eV/atom

abc: 4.576 6.184 7.032
angles: 90.00 103.60 90.00
Atoms (fractional coordinates):
Ru 0.812 0.750 0.654
Ru 0.812 0.250 0.654
Ru 0.500 0.255 0.000
Ru 0.500 0.745 0.000
Ru 0.188 0.750 0.346
Ru 0.188 0.250 0.346
In 0.000 0.000 0.000
Ta 0.680 0.500 0.329
Ta 0.322 0.000 0.672
Ta 0.000 0.500 0.000
Ta 0.678 0.000 0.328
Ta 0.320 0.500 0.671

4.
A plane-wave DFT calculation with PBE was carried out for an optimized crystal structure of IrSeS4.

Computed properties:
Mass density ... 5.2 g/cm³
Symmetry ... P-1

abc: 6.110 8.106 7.376
angles: 68.73 64.68 108.39
Atoms (fractional coordinates):
Ir 0.500 0.500 0.500
Ir 0.000 0.000 0.500
Se 0.750 0.054 0.104
Se 0.250 0.946 0.896
S 0.198 0.354 0.925
S 0.360 0.224 0.088
S 0.802 0.646 0.075
S 0.640 0.776 0.912
S 0.348 0.162 0.535
S 0.145 0.585 0.516
S 0.652 0.838 0.465
S 0.855 0.415 0.484

5.
A plane-wave DFT calculation with PBE was carried out for an optimized crystal structure of Cs3BeFe.

Computed properties:
Mass density ... 3.4 g/cm³
Symmetry ... Pm-3m
Energy of formation ... 1.5160 eV/atom

abc: 6.077 6.077 6.077
angles: 90.00 90.00 90.00
Atoms (fractional coordinates):
Cs 0.000 0.500 0.000
Cs 0.000 0.000 0.500
Cs 0.500 0.000 0.000
Be 0.500 0.500 0.500
Fe 0.000 0.000 0.000

6.
A plane-wave DFT calculation with PBE was carried out for an optimized crystal structure of VInI4.

Computed properties:
Mass density ... 4.7 g/cm³
Symmetry ... C2/c

abc: 4.208 9.781 12.077
angles: 82.92 79.97 77.58
Site moments in Bohr magnetons follow the coordinates.
Atoms (fractional coordinates):
V 0.500 0.500 0.000  2.30
V 0.000 0.000 0.500  2.30
In 0.751 0.750 0.250  -0.11
In 0.249 0.250 0.750  -0.11
I 0.661 0.219 0.956  -0.08
I 0.837 0.281 0.544  -0.08
I 0.451 0.941 0.657  -0.08
I 0.049 0.559 0.843  -0.08
I 0.549 0.059 0.343  -0.08
I 0.339 0.781 0.044  -0.08
I 0.163 0.719 0.456  -0.08
I 0.951 0.441 0.157  -0.08

7.
A plane-wave DFT calculation with PBE was carried out for an optimized crystal structure of ErTm3C8.

Computed properties:
Mass density ... 8.0 g/cm³
Symmetry ... C2/m
Energy of formation ... -0.1936 eV/atom

abc: 5.092 6.481 6.117
angles: 61.93 89.80 113.03
Atoms (fractional coordinates):
Er 0.917 0.000 0.083
Tm 0.667 0.501 0.833
Tm 0.166 0.499 0.334
Tm 0.417 0.000 0.583
C 0.917 0.000 0.690
C 0.666 0.498 0.441
C 0.168 0.502 0.940
C 0.417 0.000 0.976
C 0.916 0.000 0.476
C 0.666 0.498 0.228
C 0.167 0.502 0.726
C 0.417 0.000 0.190

8.
A plane-wave DFT calculation with PBE was carried out for an optimized crystal structure of PmSi2Pb.

Computed properties:
Mass density ... 7.5 g/cm³
Symmetry ... P4/mmm

abc: 4.195 4.648 4.648
angles: 90.00 90.00 90.00
Atoms (fractional coordinates):
Pb 0.500 0.500 0.500
Si 0.000 0.000 0.500
Si 0.000 0.500 0.000
Pm 0.500 0.000 0.000

no.,total energy (eV/f.u.)
1,-77.77
2,-37.86
3,-121.49
4,-28.36
5,-7.17
6,-20.87
7,-94.09
8,-19.75